# PBE Cd2Br, optimized geometry
# ΔE_f (raw)	-0.252	eV per atom
data_Cd2Br
_chemical_formula_sum 'Cd8 Br4'
_cell_length_a 3.931
_cell_length_b 23.193
_cell_length_c 3.788
_cell_angle_alpha 90.00
_cell_angle_beta 90.00
_cell_angle_gamma 90.00
_symmetry_space_group_name_H-M 'C m c m'
_symmetry_Int_Tables_number 63
_symmetry_space_group_name_Hall '-C 2c 2'
loop_
_atom_site_label
_atom_site_fract_x
_atom_site_fract_y
_atom_site_fract_z
Cd1 0.000 0.048 0.250
Cd2 0.000 0.274 0.750
Br1 0.000 0.385 0.250


# PBE CoAs2BrN, optimized geometry
# ΔE_f (raw)	1.272	eV per atom
data_CoAs2BrN
_chemical_formula_sum 'Co1 As2 Br1 N1'
_cell_length_a 4.473
_cell_length_b 4.473
_cell_length_c 5.283
_cell_angle_alpha 90.00
_cell_angle_beta 90.00
_cell_angle_gamma 90.00
_symmetry_space_group_name_H-M 'P 4/m m m'
_symmetry_Int_Tables_number 123
_symmetry_space_group_name_Hall '-P 4 2'
loop_
_atom_site_label
_atom_site_fract_x
_atom_site_fract_y
_atom_site_fract_z
Co1 0.000 0.000 0.000
As1 0.000 0.500 0.000
Br1 0.000 0.000 0.500
N1 0.500 0.500 0.500


## Sm3Al5Ge12 (PBE)

Data for an optimized crystal structure of Sm3Al5Ge12.

```
data_Sm3Al5Ge12
_chemical_formula_sum 'Sm24 Al40 Ge96'
_cell_length_a 15.898
_cell_length_b 15.898
_cell_length_c 15.898
_cell_angle_alpha 90.00
_cell_angle_beta 90.00
_cell_angle_gamma 90.00
_symmetry_space_group_name_H-M 'I a -3 d'
_symmetry_Int_Tables_number 230
_symmetry_space_group_name_Hall '-I 4bd 2c 3'
loop_
_atom_site_label
_atom_site_fract_x
_atom_site_fract_y
_atom_site_fract_z
Sm1 0.000 0.250 0.125
Al1 0.000 0.000 0.000
Al2 0.000 0.250 0.375
Ge1 0.052 0.077 0.636
```


## CaMnC2 (PBE)

Data for an optimized crystal structure of CaMnC2.

```
data_CaMnC2
_chemical_formula_sum 'Ca4 Mn4 C8'
_cell_length_a 5.550
_cell_length_b 5.550
_cell_length_c 5.550
_cell_angle_alpha 90.00
_cell_angle_beta 90.00
_cell_angle_gamma 90.00
_symmetry_space_group_name_H-M 'F m -3 m'
_symmetry_Int_Tables_number 225
_symmetry_space_group_name_Hall '-F 4 2 3'
loop_
_atom_site_label
_atom_site_fract_x
_atom_site_fract_y
_atom_site_fract_z
Ca1 0.000 0.000 0.000
Mn1 0.000 0.000 0.500
C1 0.250 0.250 0.250
```


## LiLaTm (PBE)

Data for an optimized crystal structure of LiLaTm.

```
data_LiLaTm
_chemical_formula_sum 'Li1 La1 Tm1'
_cell_length_a 3.5264
_cell_length_b 3.5264
_cell_length_c 8.4391
_cell_angle_alpha 90.00
_cell_angle_beta 90.00
_cell_angle_gamma 120.00
_symmetry_space_group_name_H-M 'P 3 m 1'
_symmetry_Int_Tables_number 156
loop_
_symmetry_equiv_pos_as_xyz
'x,y,z'
'-y,x-y,z'
'-x+y,-x,z'
'-y,-x,z'
'-x+y,y,z'
'x,x-y,z'
loop_
_atom_site_label
_atom_site_fract_x
_atom_site_fract_y
_atom_site_fract_z
Li1 0.0000 0.0000 0.0000
La1 0.3333 0.6667 0.6586
Tm1 0.6667 0.3333 0.3171
```


## HfNbBPt2 (PBE)

Data for an optimized crystal structure of HfNbBPt2.

```
data_HfNbBPt2
_chemical_formula_sum 'Hf1 Nb1 B1 Pt2'
_cell_length_a 4.226
_cell_length_b 4.226
_cell_length_c 4.407
_cell_angle_alpha 90.00
_cell_angle_beta 90.00
_cell_angle_gamma 90.00
_symmetry_space_group_name_H-M 'P 4/m m m'
_symmetry_Int_Tables_number 123
_symmetry_space_group_name_Hall '-P 4 2'
loop_
_atom_site_label
_atom_site_fract_x
_atom_site_fract_y
_atom_site_fract_z
Hf1 0.000 0.000 0.000
Nb1 0.500 0.500 0.000
B1 0.500 0.500 0.500
Pt1 0.000 0.500 0.500
```


## Na5SnPb (PBE)

Data for an optimized crystal structure of Na5SnPb.

```
data_Na5SnPb
_chemical_formula_sum 'Na10 Sn2 Pb2'
_cell_length_a 7.798
_cell_length_b 12.072
_cell_length_c 6.156
_cell_angle_alpha 90.00
_cell_angle_beta 90.00
_cell_angle_gamma 90.00
_symmetry_space_group_name_H-M 'I m m 2'
_symmetry_Int_Tables_number 44
loop_
_symmetry_equiv_pos_as_xyz
'x,y,z'
'-x,-y,z'
'-x,y,z'
'x,-y,z'
'x+1/2,y+1/2,z+1/2'
'-x+1/2,-y+1/2,z+1/2'
'-x+1/2,y+1/2,z+1/2'
'x+1/2,-y+1/2,z+1/2'
loop_
_atom_site_label
_atom_site_fract_x
_atom_site_fract_y
_atom_site_fract_z
Na1 0.000 0.000 0.000
Na2 0.000 0.252 0.390
Na3 0.176 0.500 0.767
Sn1 0.000 0.500 0.256
Pb1 0.000 0.000 0.532
```


## YEr4Pt4 (PBE)

Data for an optimized crystal structure of YEr4Pt4.

```
data_YEr4Pt4
_chemical_formula_sum 'Y2 Er8 Pt8'
_cell_length_a 8.997
_cell_length_b 8.997
_cell_length_c 5.668
_cell_angle_alpha 90.00
_cell_angle_beta 90.00
_cell_angle_gamma 90.00
_symmetry_space_group_name_H-M 'P 42/n'
_symmetry_Int_Tables_number 86
loop_
_symmetry_equiv_pos_as_xyz
'x,y,z'
'-x,-y,-z'
'-y,x+1/2,z+1/2'
'y,-x+1/2,-z+1/2'
'-x+1/2,-y+1/2,z'
'x+1/2,y+1/2,-z'
'y+1/2,-x,z+1/2'
'-y+1/2,x,-z+1/2'
loop_
_atom_site_label
_atom_site_fract_x
_atom_site_fract_y
_atom_site_fract_z
Y1 0.250 0.250 0.250
Er1 0.079 0.653 0.165
Pt1 0.036 0.625 0.665
```


| no. | final energy (eV/atom) | magnetization (μB/f.u.) |
| --- | --- | --- |
| 1 | -1.42 | 0.00 |
| 2 | -4.01 | 2.74 |
| 3 | -4.27 | 0.00 |
| 4 | -5.95 | 0.00 |
| 5 | -3.65 | 0.00 |
| 6 | -8.23 | 0.00 |
| 7 | -1.90 | 0.00 |
| 8 | -6.50 | 0.00 |